A PBEsol-optimized structure of Nb3Tl2Br9, computed with SCAN.

Lattice parameters (Å, degrees): 11.0056 16.3665 9.9704 90.00 117.17 90.00
With the nearest neighbours (Å) after each atom.
Space group C2/m (No. 12)
One atom of each set of equivalent atoms:
Nb  0.1062  0.0000  0.3711 [4 per cell]  5 Br 2.59-2.78
Nb  0.1305  0.0897  0.6396 [8 per cell]  5 Br 2.59-2.81
Tl  0.0999  0.3434  0.8340 [8 per cell]  4 Br 3.16-3.33
Br  0.0000  0.2203  0.5000 [4 per cell]  2 Nb 2.60
Br  0.0306  0.1102  0.8270 [8 per cell]  2 Nb 2.59
Br  0.1768  0.5000  0.1585 [4 per cell]  2 Nb 2.61
Br  0.1940  0.2887  0.1730 [8 per cell]  1 Nb 2.81
Br  0.2122  0.3890  0.4873 [8 per cell]  2 Nb 2.59
Br  0.2491  0.0000  0.2024 [4 per cell]  1 Nb 2.78

Results
* energy relative to the elements, uncorrected: -0.989 eV/atom